No. 1
# LaTcAg2, relaxed, DFT GGA-PBE
# Energy above the most stable polymorph in this dataset   125 meV per atom
# Density of states at the Fermi level   1.092 states/eV per atom
# M_tot   1.374 μB per formula unit
# Formation enthalpy at 0 K   1.35 eV per formula unit
data_LaTcAg2
_cell_length_a 5.344
_cell_length_b 5.344
_cell_length_c 5.344
_cell_angle_alpha 131.63
_cell_angle_beta 131.63
_cell_angle_gamma 70.82
_symmetry_space_group_name_H-M 'P 1'
_symmetry_Int_Tables_number 1
_symmetry_space_group_name_Hall 'P 1'
loop_
_atom_site_label
_atom_site_type_symbol
_atom_site_fract_x
_atom_site_fract_y
_atom_site_fract_z
La1 La 0.000 0.000 0.000
Tc1 Tc 0.250 0.750 0.500
Ag1 Ag 0.500 0.500 0.000
Ag2 Ag 0.750 0.250 0.500



No. 2
# Be2V2W, relaxed, DFT GGA-PBE
# Density of states at the Fermi level   0.548 states/eV per atom
# M_tot   0.000 μB per formula unit
# Formation enthalpy at 0 K   -0.61 eV per formula unit
data_Be2V2W
_cell_length_a 6.181
_cell_length_b 6.181
_cell_length_c 3.087
_cell_angle_alpha 90.00
_cell_angle_beta 90.00
_cell_angle_gamma 90.00
_symmetry_space_group_name_H-M 'P 1'
_symmetry_Int_Tables_number 1
_symmetry_space_group_name_Hall 'P 1'
loop_
_atom_site_label
_atom_site_type_symbol
_atom_site_fract_x
_atom_site_fract_y
_atom_site_fract_z
Be1 Be 0.117 0.383 0.000
Be2 Be 0.383 0.883 0.000
Be3 Be 0.617 0.117 0.000
Be4 Be 0.883 0.617 0.000
V1 V 0.180 0.680 0.500
V2 V 0.320 0.180 0.500
V3 V 0.680 0.820 0.500
V4 V 0.820 0.320 0.500
W1 W 0.000 0.000 0.000
W2 W 0.500 0.500 0.000



No. 3
# LiCuHPd2, relaxed, DFT GGA-PBE
# Energy above the most stable polymorph in this dataset   27 meV per atom
# Density of states at the Fermi level   0.334 states/eV per atom
# M_tot   0.000 μB per formula unit
data_LiCuHPd2
_cell_length_a 4.019
_cell_length_b 4.019
_cell_length_c 3.604
_cell_angle_alpha 90.00
_cell_angle_beta 90.00
_cell_angle_gamma 90.00
_symmetry_space_group_name_H-M 'P 1'
_symmetry_Int_Tables_number 1
_symmetry_space_group_name_Hall 'P 1'
loop_
_atom_site_label
_atom_site_type_symbol
_atom_site_fract_x
_atom_site_fract_y
_atom_site_fract_z
Li1 Li 0.000 0.000 0.000
Cu1 Cu 0.500 0.500 0.000
H1 H 0.500 0.500 0.500
Pd1 Pd 0.000 0.500 0.500
Pd2 Pd 0.500 0.000 0.500



No. 4
# W2CBr, relaxed, DFT GGA-PBE
# Energy above the most stable polymorph in this dataset   0 meV per atom
# Density of states at the Fermi level   0.833 states/eV per atom
# M_tot   0.000 μB per formula unit
# Formation energy (no corrections)   103.0 kJ per mole of atoms
data_W2CBr
_cell_length_a 7.291
_cell_length_b 7.291
_cell_length_c 7.291
_cell_angle_alpha 143.35
_cell_angle_beta 143.35
_cell_angle_gamma 52.79
_symmetry_space_group_name_H-M 'P 1'
_symmetry_Int_Tables_number 1
_symmetry_space_group_name_Hall 'P 1'
loop_
_atom_site_label
_atom_site_type_symbol
_atom_site_fract_x
_atom_site_fract_y
_atom_site_fract_z
W1 W 0.024 0.625 0.899
W2 W 0.375 0.274 0.399
W3 W 0.726 0.125 0.101
W4 W 0.875 0.976 0.601
C1 C 0.000 0.000 0.000
C2 C 0.750 0.250 0.500
Br1 Br 0.250 0.750 0.500
Br2 Br 0.500 0.500 0.000



No. 5
# K3In5Ag2, relaxed, DFT GGA-PBE
# Density of states at the Fermi level   0.404 states/eV per atom
# M_tot   0.000 μB per formula unit
# Formation enthalpy at 0 K   -0.77 eV per formula unit
data_K3In5Ag2
_cell_length_a 10.161
_cell_length_b 10.161
_cell_length_c 10.161
_cell_angle_alpha 103.81
_cell_angle_beta 90.28
_cell_angle_gamma 139.14
_symmetry_space_group_name_H-M 'P 1'
_symmetry_Int_Tables_number 1
_symmetry_space_group_name_Hall 'P 1'
loop_
_atom_site_label
_atom_site_type_symbol
_atom_site_fract_x
_atom_site_fract_y
_atom_site_fract_z
K1 K 0.127 0.742 0.869
K2 K 0.250 0.250 0.000
K3 K 0.373 0.242 0.616
K4 K 0.627 0.758 0.384
K5 K 0.750 0.750 0.000
K6 K 0.873 0.258 0.131
In1 In 0.006 0.750 0.256
In2 In 0.119 0.358 0.477
In3 In 0.250 0.750 0.500
In4 In 0.381 0.858 0.238
In5 In 0.494 0.750 0.744
In6 In 0.506 0.250 0.256
In7 In 0.619 0.142 0.762
In8 In 0.750 0.250 0.500
In9 In 0.881 0.642 0.523
In10 In 0.994 0.250 0.744
Ag1 Ag 0.158 0.142 0.300
Ag2 Ag 0.342 0.642 0.983
Ag3 Ag 0.658 0.358 0.017
Ag4 Ag 0.842 0.858 0.700



No. 6
# Tb4SmMg5, relaxed, DFT GGA-PBE
# Density of states at the Fermi level   1.381 states/eV per atom
# M_tot   0.000 μB per formula unit
# Formation enthalpy at 0 K   -0.88 eV per formula unit
data_Tb4SmMg5
_cell_length_a 3.804
_cell_length_b 3.804
_cell_length_c 19.094
_cell_angle_alpha 90.00
_cell_angle_beta 90.00
_cell_angle_gamma 90.00
_symmetry_space_group_name_H-M 'P 1'
_symmetry_Int_Tables_number 1
_symmetry_space_group_name_Hall 'P 1'
loop_
_atom_site_label
_atom_site_type_symbol
_atom_site_fract_x
_atom_site_fract_y
_atom_site_fract_z
Tb1 Tb 0.000 0.000 0.099
Tb2 Tb 0.000 0.000 0.298
Tb3 Tb 0.000 0.000 0.702
Tb4 Tb 0.000 0.000 0.901
Sm1 Sm 0.000 0.000 0.500
Mg1 Mg 0.500 0.500 0.000
Mg2 Mg 0.500 0.500 0.199
Mg3 Mg 0.500 0.500 0.397
Mg4 Mg 0.500 0.500 0.603
Mg5 Mg 0.500 0.500 0.801



What did the first record say?
# LaTcAg2, relaxed, DFT GGA-PBE
# Energy above the most stable polymorph in this dataset   125 meV per atom
# Density of states at the Fermi level   1.092 states/eV per atom
# M_tot   1.374 μB per formula unit
# Formation enthalpy at 0 K   1.35 eV per formula unit
data_LaTcAg2
_cell_length_a 5.344
_cell_length_b 5.344
_cell_length_c 5.344
_cell_angle_alpha 131.63
_cell_angle_beta 131.63
_cell_angle_gamma 70.82
_symmetry_space_group_name_H-M 'P 1'
_symmetry_Int_Tables_number 1
_symmetry_space_group_name_Hall 'P 1'
loop_
_atom_site_label
_atom_site_type_symbol
_atom_site_fract_x
_atom_site_fract_y
_atom_site_fract_z
La1 La 0.000 0.000 0.000
Tc1 Tc 0.250 0.750 0.500
Ag1 Ag 0.500 0.500 0.000
Ag2 Ag 0.750 0.250 0.500